# 1
{"formula": "CaGa2Co2P", "functional": "PBE", "state": "optimized geometry", "cell": [[4.2239, 0.0000, 0.0000], [0.0000, 4.2239, 0.0000], [0.0000, 0.0000, 5.5692]], "species": ["Ca", "Ga", "Ga", "Co", "Co", "P"], "fractional_positions": [[0.0000, 0.0000, 0.0000], [0.5000, 0.5000, 0.2401], [0.5000, 0.5000, 0.7599], [0.0000, 0.5000, 0.5000], [0.5000, 0.0000, 0.5000], [0.0000, 0.0000, 0.5000]], "e_form_kcal_per_mol_atoms": -8.99, "m_tot_mub_per_cell": 0.00, "sg": "P4/mmm (123)"}


# 2
{"formula": "CaPmGaCo", "functional": "PBE", "state": "optimized geometry", "cell": [[7.1106, 0.0000, 0.0000], [0.0000, 7.1106, 0.0000], [0.0000, 0.0000, 7.1106]], "species": ["Ca", "Ca", "Ca", "Ca", "Pm", "Pm", "Pm", "Pm", "Ga", "Ga", "Ga", "Ga", "Co", "Co", "Co", "Co"], "fractional_positions": [[0.0000, 0.0000, 0.0000], [0.0000, 0.5000, 0.5000], [0.5000, 0.0000, 0.5000], [0.5000, 0.5000, 0.0000], [0.0000, 0.0000, 0.5000], [0.0000, 0.5000, 0.0000], [0.5000, 0.0000, 0.0000], [0.5000, 0.5000, 0.5000], [0.2500, 0.2500, 0.7500], [0.2500, 0.7500, 0.2500], [0.7500, 0.2500, 0.2500], [0.7500, 0.7500, 0.7500], [0.2500, 0.2500, 0.2500], [0.2500, 0.7500, 0.7500], [0.7500, 0.2500, 0.7500], [0.7500, 0.7500, 0.2500]], "e_form_kcal_per_mol_atoms": -2.54, "m_tot_mub_per_cell": 3.14, "sg": "F-43m (216)"}


# 3
{"formula": "CaGa3CoPt", "functional": "PBE", "state": "optimized geometry", "cell": [[3.9336, -5.3879, 0.0000], [3.9336, 5.3879, 0.0000], [0.0000, 0.0000, 5.5633]], "species": ["Ca", "Ca", "Ga", "Ga", "Ga", "Ga", "Ga", "Ga", "Co", "Co", "Pt", "Pt"], "fractional_positions": [[0.2116, 0.7884, 0.7500], [0.7884, 0.2116, 0.2500], [0.2539, 0.2539, 0.0000], [0.2539, 0.2539, 0.5000], [0.3088, 0.6912, 0.2500], [0.6912, 0.3088, 0.7500], [0.7461, 0.7461, 0.0000], [0.7461, 0.7461, 0.5000], [0.4859, 0.5141, 0.7500], [0.5141, 0.4859, 0.2500], [0.0835, 0.9165, 0.2500], [0.9165, 0.0835, 0.7500]], "e_form_kcal_per_mol_atoms": -9.62, "m_tot_mub_per_cell": 0.00, "sg": "Cmcm (63)"}


# 4
{"formula": "CaGa3CoRh", "functional": "PBE", "state": "optimized geometry", "cell": [[3.8260, -5.3433, 0.0000], [3.8260, 5.3433, 0.0000], [0.0000, 0.0000, 5.6475]], "species": ["Ca", "Ca", "Ga", "Ga", "Ga", "Ga", "Ga", "Ga", "Co", "Co", "Rh", "Rh"], "fractional_positions": [[0.2147, 0.7853, 0.7500], [0.7853, 0.2147, 0.2500], [0.2487, 0.2487, 0.0000], [0.2487, 0.2487, 0.5000], [0.3036, 0.6964, 0.2500], [0.6964, 0.3036, 0.7500], [0.7513, 0.7513, 0.0000], [0.7513, 0.7513, 0.5000], [0.4866, 0.5134, 0.7500], [0.5134, 0.4866, 0.2500], [0.0797, 0.9203, 0.2500], [0.9203, 0.0797, 0.7500]], "e_form_kcal_per_mol_atoms": -8.68, "m_tot_mub_per_cell": 0.00, "sg": "Cmcm (63)"}


Repeat the third record exactly.
{"formula": "CaGa3CoPt", "functional": "PBE", "state": "optimized geometry", "cell": [[3.9336, -5.3879, 0.0000], [3.9336, 5.3879, 0.0000], [0.0000, 0.0000, 5.5633]], "species": ["Ca", "Ca", "Ga", "Ga", "Ga", "Ga", "Ga", "Ga", "Co", "Co", "Pt", "Pt"], "fractional_positions": [[0.2116, 0.7884, 0.7500], [0.7884, 0.2116, 0.2500], [0.2539, 0.2539, 0.0000], [0.2539, 0.2539, 0.5000], [0.3088, 0.6912, 0.2500], [0.6912, 0.3088, 0.7500], [0.7461, 0.7461, 0.0000], [0.7461, 0.7461, 0.5000], [0.4859, 0.5141, 0.7500], [0.5141, 0.4859, 0.2500], [0.0835, 0.9165, 0.2500], [0.9165, 0.0835, 0.7500]], "e_form_kcal_per_mol_atoms": -9.62, "m_tot_mub_per_cell": 0.00, "sg": "Cmcm (63)"}